Record 1
VASP calculation (GGA-PBE) on a relaxed structure of LiSc2HgIr.

Summary:
**Calculated formation energy**: 108.6 kJ/mol of formula units

Cell: 4.857 4.091 4.857 Å, 90.00 90.00 90.00°
Fractional positions:
1 Sc 0.000 0.000 0.500
2 Sc 0.500 0.000 0.000
3 Ir 0.000 0.500 0.000
4 Hg 0.500 0.500 0.500
5 Li 0.000 0.000 0.000

***

Record 2
VASP calculation (GGA-PBE) on a relaxed structure of Tb6Al3Si.

Summary:
**Uncorrected formation energy**: -0.40 eV per atom

Cell: 11.237 11.237 11.237 Å, 117.74 117.74 93.97°
Fractional positions:
1 Al 0.380 0.120 0.500
2 Al 0.620 0.880 0.500
3 Al 0.120 0.620 0.740
4 Al 0.880 0.380 0.260
5 Al 0.027 0.883 0.500
6 Al 0.383 0.527 0.500
7 Al 0.883 0.383 0.856
8 Al 0.527 0.027 0.144
9 Al 0.117 0.617 0.144
10 Al 0.473 0.973 0.856
11 Al 0.973 0.117 0.500
12 Al 0.617 0.473 0.500
13 Si 0.500 0.500 0.000
14 Si 0.000 0.000 0.000
15 Si 0.250 0.250 0.000
16 Si 0.750 0.750 0.000
17 Tb 0.352 0.852 0.500
18 Tb 0.852 0.352 0.500
19 Tb 0.148 0.648 0.500
20 Tb 0.648 0.148 0.500
21 Tb 0.939 0.071 0.741
22 Tb 0.330 0.198 0.259
23 Tb 0.071 0.330 0.132
24 Tb 0.198 0.939 0.868
25 Tb 0.170 0.429 0.868
26 Tb 0.561 0.302 0.132
27 Tb 0.302 0.170 0.741
28 Tb 0.429 0.561 0.259
29 Tb 0.061 0.929 0.259
30 Tb 0.670 0.802 0.741
31 Tb 0.929 0.670 0.868
32 Tb 0.802 0.061 0.132
33 Tb 0.830 0.571 0.132
34 Tb 0.439 0.698 0.868
35 Tb 0.698 0.830 0.259
36 Tb 0.571 0.439 0.741
37 Tb 0.831 0.669 0.500
38 Tb 0.169 0.331 0.500
39 Tb 0.669 0.169 0.839
40 Tb 0.331 0.831 0.161

***

Record 3
VASP calculation (GGA-PBE) on a relaxed structure of TlMo2Pb.

Summary:
**Calculated formation energy**: 383.4 kJ/mol of formula units

Cell: 4.886 4.886 4.886 Å, 60.00 60.00 60.00°
Last column: magnetic moment on the atom in μB.
Fractional positions:
1 Mo 0.000 0.000 0.000  -0.85
2 Mo 0.750 0.750 0.750  0.84
3 Pb 0.500 0.500 0.500  0.01
4 Tl 0.250 0.250 0.250  0.00

***

Record 4
VASP calculation (GGA-PBE) on a relaxed structure of CaSbH.

Cell: 5.619 3.589 3.589 Å, 120.00 90.00 90.00°
Fractional positions:
1 Sb 0.667 0.333 0.667
2 Ca 0.167 0.667 0.333
3 H 0.166 0.000 0.000

***

Record 5
VASP calculation (GGA-PBE) on a relaxed structure of TaZnIr2.

Summary:
**Calculated formation energy**: -104.1 kJ/mol of formula units

Cell: 4.650 4.650 4.935 Å, 81.21 81.21 35.47°
Fractional positions:
1 Ir 0.000 0.000 0.010
2 Ir 0.500 0.500 0.490
3 Ta 0.750 0.750 0.750
4 Zn 0.250 0.250 0.250

***

Record 6
VASP calculation (GGA-PBE) on a relaxed structure of Tb3Zn5Bi12.

Summary:
**Calculated formation energy**: 17.3 kJ/mol of formula units

Cell: 15.250 15.250 15.250 Å, 109.47 109.47 109.47°
Fractional positions:
1 Tb 0.750 0.375 0.125
2 Tb 0.875 0.750 0.125
3 Tb 0.375 0.750 0.625
4 Tb 0.250 0.125 0.375
5 Tb 0.875 0.125 0.250
6 Tb 0.375 0.625 0.250
7 Tb 0.625 0.375 0.750
8 Tb 0.125 0.875 0.750
9 Tb 0.750 0.875 0.625
10 Tb 0.625 0.250 0.375
11 Tb 0.125 0.250 0.875
12 Tb 0.250 0.625 0.875
13 Zn 0.125 0.375 0.250
14 Zn 0.000 0.500 0.000
15 Zn 0.000 0.000 0.000
16 Zn 0.375 0.250 0.125
17 Zn 0.500 0.000 0.500
18 Zn 0.500 0.500 0.000
19 Zn 0.125 0.750 0.375
20 Zn 0.750 0.125 0.875
21 Zn 0.750 0.625 0.375
22 Zn 0.375 0.125 0.750
23 Zn 0.625 0.875 0.250
24 Zn 0.500 0.500 0.500
25 Zn 0.500 0.000 0.000
26 Zn 0.000 0.000 0.500
27 Zn 0.250 0.375 0.625
28 Zn 0.250 0.875 0.125
29 Zn 0.000 0.500 0.500
30 Zn 0.875 0.250 0.625
31 Zn 0.625 0.750 0.875
32 Zn 0.875 0.625 0.750
33 Bi 0.725 0.139 0.057
34 Bi 0.332 0.557 0.418
35 Bi 0.943 0.361 0.275
36 Bi 0.557 0.225 0.139
37 Bi 0.586 0.725 0.668
38 Bi 0.943 0.582 0.168
39 Bi 0.332 0.775 0.414
40 Bi 0.082 0.914 0.139
41 Bi 0.582 0.943 0.668
42 Bi 0.725 0.586 0.168
43 Bi 0.775 0.443 0.361
44 Bi 0.832 0.918 0.057
45 Bi 0.139 0.725 0.557
46 Bi 0.361 0.418 0.086
47 Bi 0.086 0.918 0.361
48 Bi 0.414 0.139 0.582
49 Bi 0.086 0.168 0.225
50 Bi 0.443 0.668 0.082
51 Bi 0.832 0.914 0.275
52 Bi 0.139 0.414 0.082
53 Bi 0.361 0.943 0.775
54 Bi 0.582 0.639 0.414
55 Bi 0.918 0.832 0.557
56 Bi 0.775 0.332 0.914
57 Bi 0.418 0.361 0.586
58 Bi 0.082 0.168 0.443
59 Bi 0.225 0.668 0.086
60 Bi 0.168 0.086 0.725
61 Bi 0.639 0.057 0.225
62 Bi 0.861 0.586 0.918
63 Bi 0.557 0.332 0.918
64 Bi 0.586 0.861 0.418
65 Bi 0.914 0.832 0.775
66 Bi 0.914 0.082 0.639
67 Bi 0.861 0.275 0.443
68 Bi 0.168 0.082 0.943
69 Bi 0.639 0.582 0.914
70 Bi 0.418 0.057 0.332
71 Bi 0.275 0.414 0.832
72 Bi 0.225 0.557 0.639
73 Bi 0.918 0.086 0.861
74 Bi 0.668 0.225 0.586
75 Bi 0.443 0.775 0.861
76 Bi 0.057 0.418 0.832
77 Bi 0.414 0.275 0.332
78 Bi 0.057 0.639 0.725
79 Bi 0.668 0.443 0.582
80 Bi 0.275 0.861 0.943

***

Record 7
VASP calculation (GGA-PBE) on a relaxed structure of FeBAs2Se.

Summary:
**Uncorrected formation energy**: 1.17 eV per atom

Cell: 4.361 4.361 5.207 Å, 90.00 90.00 90.00°
Fractional positions:
1 As 0.000 0.500 0.000
2 As 0.500 0.000 0.000
3 B 0.500 0.500 0.500
4 Fe 0.000 0.000 0.000
5 Se 0.000 0.000 0.500

***

For each record above, in turn, the calculated uncorrected energy values are -4.52, -4.84, -5.94, -3.60, -7.98, -3.33, -4.42 eV/atom.